Ca2PtI: relaxed, PBE-GGA.

POSCAR file:
```
Ca2PtI
1.0
-5.557 -5.571 -0.944
4.036 -4.840 4.805
-2.894 -3.647 5.293
I Ca Pt
2 4 2
direct
0.500 0.500 0.000
0.250 0.750 0.500
0.671 0.125 0.250
0.079 0.625 0.250
0.375 0.329 0.750
0.875 0.921 0.750
0.000 0.000 0.000
0.750 0.250 0.500
```

Theoretical density, Mg/m³: 4.97
SG: No. 122
Formation energy without anion corrections, meV per atom: -760.2
Calculated total energy, eV for the cell shown: -29.27
Total moment, μB per cell: 0.00

MnCo2SCl: relaxed, PBE-GGA.

POSCAR file:
```
MnCo2SCl
1.0
4.136 0.000 0.000
0.000 4.873 0.000
0.000 0.000 4.136
S Mn Co Cl
1 1 2 1
direct
0.500 0.500 0.500
0.000 0.500 0.000
0.000 0.000 0.500
0.500 0.000 0.000
0.000 0.000 0.000
```

Theoretical density, Mg/m³: 4.79
SG: No. 123
Formation energy without anion corrections, meV per atom: 727.3
Calculated total energy, eV for the cell shown: -25.72
Total moment, μB per cell: 8.00

Tb2PmBi: relaxed, PBE-GGA.

POSCAR file:
```
Tb2PmBi
1.0
3.572 0.000 0.000
1.786 3.094 0.000
1.786 1.031 12.129
Tb Bi Pm
2 1 1
direct
0.087 0.087 0.739
0.913 0.913 0.261
0.000 0.000 0.000
0.500 0.500 0.500
```

Theoretical density, Mg/m³: 8.32
SG: No. 166
Calculated total energy, eV for the cell shown: -17.82
Total moment, μB per cell: 0.00

NiRhSN2: relaxed, PBE-GGA.

POSCAR file:
```
NiRhSN2
1.0
3.702 0.000 0.000
0.000 3.702 0.000
0.000 0.000 5.334
Ni S Rh N
1 1 1 2
direct
0.500 0.500 0.500
0.000 0.000 0.500
0.000 0.000 0.000
0.000 0.500 0.000
0.500 0.000 0.000
```

Theoretical density, Mg/m³: 5.03
SG: No. 123
Formation energy without anion corrections, meV per atom: 1226.4
Calculated total energy, eV for the cell shown: -27.78
Total moment, μB per cell: 1.34